Computed, not measured: a crystal of TcAs2Au relaxed with PBEsol at the SCAN level of DFT.

- Spin magnetization: 1.1 μB per formula unit
- Calculated formation energy: 310.6 meV/atom
- Relative energy among the computed polymorphs: 315.8 meV/atom

abc: 4.431 4.431 3.228
angles: 90.00 90.00 90.00
Space group P4/mmm (No. 123)
Symmetry-distinct sites (fractional):
Tc 0.000 0.000 0.000 [1 per cell]
As 0.000 0.500 0.500 [2 per cell]
Au 0.500 0.500 0.000 [1 per cell]

***

Computed, not measured: a crystal of Te2AsAu relaxed with PBEsol at the SCAN level of DFT.

- Spin magnetization: 0.0 μB per formula unit
- Formation energy without anion corrections: -0.05 eV/atom

abc: 4.074 4.074 5.746
angles: 90.00 90.00 90.00
Space group P4/mmm (No. 123)
Symmetry-distinct sites (fractional):
Te 0.000 0.000 0.000 [1 per cell]
Te 0.500 0.500 0.500 [1 per cell]
As 0.000 0.000 0.500 [1 per cell]
Au 0.500 0.500 0.000 [1 per cell]